[1]
## DyAlAu2 (GGA-PBE)

Data for a relaxed structure of DyAlAu2.

Calculated values
Symmetry: Pnma, No. 62
Formation energy, eV per atom: -0.7406
VASP energy, eV per atom: -4.47

Geometry as extended XYZ:
```
16
Lattice="-2.1841 3.4571 -3.9719 -6.3734 -0.2877 3.2544 1.9439 6.2349 4.3580" Properties=species:S:1:pos:R:3 pbc="T T T"
Au -3.7361 3.2079 1.5933
Au -0.2940 6.3131 0.7280
Au -4.7029 5.1881 6.2642
Au -2.1193 5.3047 4.9450
Au -2.8776 6.1965 2.0472
Au -6.3197 3.0913 2.9125
Au -1.9108 4.2163 -2.6237
Au -4.4944 4.0997 -1.3045
Dy -5.7515 5.5521 1.0482
Dy -0.8622 3.8523 2.5923
Dy -4.3467 7.9846 4.0142
Dy -2.2669 1.4198 -0.3737
Al -4.3591 4.8070 3.7091
Al -2.2545 4.5974 -0.0686
Al -4.8898 0.9911 2.3325
Al -1.7239 8.4134 1.3080
```

=====

[2]
## Dy3Al8Au3 (GGA-PBE)

Data for a relaxed structure of Dy3Al8Au3.

Calculated values
Polymorph energy (0 for the lowest one), eV per formula unit: 0.00
Symmetry: C2/m, No. 12
Formation energy, eV per atom: -0.5769
VASP energy, eV per atom: -4.40

Geometry as extended XYZ:
```
14
Lattice="4.2259 0.0000 1.1147 1.4689 7.6121 2.9993 0.0851 -0.4926 8.2456" Properties=species:S:1:pos:R:3 pbc="T T T"
Al 0.8478 0.7742 5.3537
Al 2.6340 2.0014 7.1498
Al 4.2598 7.0027 9.5542
Al 1.5200 0.1168 2.8053
Al 3.1458 5.1181 5.2097
Al 4.9320 6.3453 7.0058
Al 1.4664 4.3059 3.0087
Al 4.3135 2.8136 9.3508
Au 0.7770 3.5597 5.6224
Au 3.8835 4.9077 10.9810
Au 1.8963 2.2118 1.3785
Dy 0.0000 0.0000 0.0000
Dy 2.3503 4.9698 8.2256
Dy 3.4295 2.1496 4.1339
```

=====

Number 2 is which compound?
Dy3Al8Au3

=====

Which of these has the lowest formation energy?
DyAlAu2